# 1
Entry from the Alexandria database: ThVTc2 after structural relaxation (PBE-GGA).

Computed properties:
The value obtained for the relative energy among the computed polymorphs is 20 meV per atom. The calculation puts the calculated formation energy at 0.2 eV per formula unit. Its total energy is -0.3403 hartree per atom.

Cell lengths 3.1689, 3.1689, 7.1222 Å; angles 90.00, 90.00, 90.00 degrees
Last column: nearest neighbours and their distance in Å.
Space group P4/mmm (No. 123)
Inequivalent atoms, fractional coordinates:
Th  0.0000  0.0000  0.0000  8 Tc 3.10, 4 Th 3.17
V  0.0000  0.0000  0.5000  8 Tc 2.65
Tc  0.5000  0.5000  0.3011  4 V 2.65, 1 Tc 2.83

# 2
Entry from the Alexandria database: ThVTc2 after structural relaxation (PBE-GGA).

Computed properties:
The value obtained for the relative energy among the computed polymorphs is 317 meV per atom. The calculation puts the calculated formation energy at 1.4 eV per formula unit. Its total energy is -0.3294 hartree per atom.

Cell lengths 3.0922, 3.0922, 26.1841 Å; angles 90.00, 90.00, 120.00 degrees
Last column: nearest neighbours and their distance in Å.
Space group R-3m (No. 166, hexagonal axes)
Inequivalent atoms, fractional coordinates:
Th  0.0000  0.0000  0.0000  6 Th 3.09, 6 Tc 3.13
V  0.0000  0.0000  0.5000  6 Tc 2.53
Tc  0.0000  0.0000  0.2351  3 V 2.53

Please write out number 2 again, unchanged.
Entry from the Alexandria database: ThVTc2 after structural relaxation (PBE-GGA).

Computed properties:
The value obtained for the relative energy among the computed polymorphs is 317 meV per atom. The calculation puts the calculated formation energy at 1.4 eV per formula unit. Its total energy is -0.3294 hartree per atom.

Cell lengths 3.0922, 3.0922, 26.1841 Å; angles 90.00, 90.00, 120.00 degrees
Last column: nearest neighbours and their distance in Å.
Space group R-3m (No. 166, hexagonal axes)
Inequivalent atoms, fractional coordinates:
Th  0.0000  0.0000  0.0000  6 Th 3.09, 6 Tc 3.13
V  0.0000  0.0000  0.5000  6 Tc 2.53
Tc  0.0000  0.0000  0.2351  3 V 2.53